(1)
DFT (PBE) results for a relaxed structure of Pr2HfUP4.

crystal system = monoclinic
uncorrected energy = -62.89 eV/cell
symmetry = P2/m (10)
calculated formation energy = -1306 meV per atom

a b c (Å): 3.975 6.868 6.986
angles (deg): 108.96 90.00 90.00
Site moments in Bohr magnetons follow the coordinates.
Element x y z (fractional)
Pr 0.000 0.500 0.500  0.03
Pr 0.500 0.000 0.500  0.03
P 0.500 0.765 0.780  -0.02
P 0.000 0.252 0.776  -0.04
P 0.000 0.748 0.224  -0.04
P 0.500 0.235 0.220  -0.02
Hf 0.000 0.000 0.000  0.03
U 0.500 0.500 0.000  1.77



(2)
DFT (PBE) results for a relaxed structure of Na2Ga2SbPd5.

crystal system = tetragonal
uncorrected energy = -87.16 eV/cell
symmetry = P4/mbm (127)
E_form (uncorrected) = -46.3 kJ per mole of atoms

a b c (Å): 3.645 9.907 9.907
angles (deg): 90.00 90.00 90.00
Element x y z (fractional)
Pd 0.500 0.000 0.500
Pd 0.500 0.707 0.431
Pd 0.500 0.293 0.569
Pd 0.500 0.207 0.069
Pd 0.500 0.931 0.207
Pd 0.500 0.569 0.707
Pd 0.500 0.793 0.931
Pd 0.500 0.069 0.793
Pd 0.500 0.500 0.000
Pd 0.500 0.431 0.293
Ga 0.000 0.624 0.876
Ga 0.000 0.876 0.376
Ga 0.000 0.124 0.624
Ga 0.000 0.376 0.124
Na 0.000 0.174 0.326
Na 0.000 0.326 0.826
Na 0.000 0.674 0.174
Na 0.000 0.826 0.674
Sb 0.000 0.000 0.000
Sb 0.000 0.500 0.500